(1)
VASP calculation (PBE) on a relaxed structure of RbGaAsH2.

Unit cell a=4.071 b=4.071 c=7.342 alpha=90.00 beta=90.00 gamma=90.00
Space group P4/mmm (No. 123)
One atom of each set of equivalent atoms:
Rb 0.000 0.000 0.000 [1 per cell]
Ga 0.000 0.000 0.500 [1 per cell]
As 0.500 0.500 0.500 [1 per cell]
H 0.000 0.500 0.000 [2 per cell]

Results
Total magnetization = 0.00 μB per formula unit
Crystal system = tetragonal
Raw total energy = -2.1099 eV per atom



(2)
VASP calculation (PBE) on a relaxed structure of Pr5Sm2Tm.

Unit cell a=7.310 b=14.672 c=5.187 alpha=90.00 beta=90.00 gamma=90.00
Space group Pbam (No. 55)
One atom of each set of equivalent atoms:
Pr 0.000 0.000 0.000 [2 per cell]
Pr 0.001 0.252 0.000 [4 per cell]
Pr 0.248 0.624 0.500 [4 per cell]
Sm 0.250 0.377 0.500 [4 per cell]
Tm 0.000 0.500 0.000 [2 per cell]

Results
Total magnetization = 0.00 μB per formula unit
DFT formation energy = 13 kJ/mol of formula units
Energy relative to the lowest polymorph listed for this composition = 0 meV/atom
Crystal system = orthorhombic
Raw total energy = -4.7096 eV per atom



(3)
VASP calculation (PBE) on a relaxed structure of Na6Pb.

Unit cell a=8.254 b=8.254 c=8.254 alpha=90.00 beta=90.00 gamma=90.00
Space group Im-3m (No. 229)
One atom of each set of equivalent atoms:
Na 0.000 0.250 0.500 [12 per cell]
Pb 0.000 0.000 0.000 [2 per cell]

Results
Total magnetization = 0.00 μB per formula unit
DFT formation energy = 293 kJ/mol of formula units
Energy relative to the lowest polymorph listed for this composition = 502 meV/atom
Crystal system = cubic
Raw total energy = -1.2268 eV per atom



(4)
VASP calculation (PBE) on a relaxed structure of Mn4CuRe.

Unit cell a=6.588 b=6.588 c=6.588 alpha=90.00 beta=90.00 gamma=90.00
Space group F-43m (No. 216)
One atom of each set of equivalent atoms:
Mn 0.124 0.124 0.124 [16 per cell]
Cu 0.250 0.250 0.750 [4 per cell]
Re 0.000 0.000 0.500 [4 per cell]

Results
Total magnetization = 3.41 μB per formula unit
DFT formation energy = 77 kJ/mol of formula units
Crystal system = cubic
Raw total energy = -8.7370 eV per atom



(5)
VASP calculation (PBE) on a relaxed structure of FeTeP.

Unit cell a=3.5405 b=3.5405 c=5.6506 alpha=90.00 beta=90.00 gamma=120.00
Space group P3m1 (No. 156)
One atom of each set of equivalent atoms:
Fe 0.0000 0.0000 0.0000 [1 per cell]
Te 0.6667 0.3333 0.7045 [1 per cell]
P 0.3333 0.6667 0.1288 [1 per cell]

Results
E_form (uncorrected) = -9 kJ/mol of formula units
Total magnetization = 0.00 μB per formula unit
Energy relative to the lowest polymorph listed for this composition = 320 meV/atom
Crystal system = trigonal
Raw total energy = -5.7039 eV per atom



(6)
VASP calculation (PBE) on a relaxed structure of AcBSb2.

Unit cell a=4.418 b=4.418 c=5.292 alpha=90.00 beta=90.00 gamma=90.00
Space group P4/mmm (No. 123)
One atom of each set of equivalent atoms:
Ac 0.000 0.000 0.000 [1 per cell]
B 0.500 0.500 0.000 [1 per cell]
Sb 0.000 0.500 0.500 [2 per cell]

Results
E_form (uncorrected) = 88 kJ/mol of formula units
Total magnetization = 0.00 μB per formula unit
Crystal system = tetragonal
Raw total energy = -4.5288 eV per atom



(7)
VASP calculation (PBE) on a relaxed structure of LaEuTlIr.

Unit cell a=7.485 b=7.485 c=7.485 alpha=90.00 beta=90.00 gamma=90.00
Space group F-43m (No. 216)
One atom of each set of equivalent atoms:
La 0.000 0.000 0.000 [4 per cell]
Eu 0.000 0.000 0.500 [4 per cell]
Tl 0.250 0.250 0.750 [4 per cell]
Ir 0.250 0.250 0.250 [4 per cell]

Results
Total magnetization = 6.86 μB per formula unit
DFT formation energy = -130 kJ/mol of formula units
Crystal system = cubic
Raw total energy = -6.9433 eV per atom



(8)
VASP calculation (PBE) on a relaxed structure of La12Pm3Sc.

Unit cell a=5.204 b=5.204 c=20.848 alpha=90.00 beta=90.00 gamma=90.00
Space group P4/mmm (No. 123)
One atom of each set of equivalent atoms:
La 0.000 0.000 0.000 [1 per cell]
La 0.000 0.000 0.247 [2 per cell]
La 0.000 0.000 0.500 [1 per cell]
La 0.000 0.500 0.121 [4 per cell]
La 0.000 0.500 0.373 [4 per cell]
Pm 0.500 0.500 0.247 [2 per cell]
Pm 0.500 0.500 0.500 [1 per cell]
Sc 0.500 0.500 0.000 [1 per cell]

Results
Total magnetization = 0.00 μB per formula unit
DFT formation energy = 23 kJ/mol of formula units
Crystal system = tetragonal
Raw total energy = -4.9671 eV per atom



(9)
VASP calculation (PBE) on a relaxed structure of SrHo2Cd.

Unit cell a=3.6392 b=3.6392 c=35.7991 alpha=90.00 beta=90.00 gamma=120.00
Space group R-3m (No. 166, hexagonal axes)
One atom of each set of equivalent atoms:
Sr 0.0000 0.0000 0.0000 [3 per cell]
Ho 0.0000 0.0000 0.0994 [6 per cell]
Cd 0.0000 0.0000 0.5000 [3 per cell]

Results
Total magnetization = 0.35 μB per formula unit
DFT formation energy = 72 kJ/mol of formula units
Energy relative to the lowest polymorph listed for this composition = 204 meV/atom
Crystal system = trigonal
Raw total energy = -2.7511 eV per atom



(10)
VASP calculation (PBE) on a relaxed structure of TiInSn.

Unit cell a=5.0758 b=5.0758 c=2.8929 alpha=90.00 beta=90.00 gamma=120.00
Space group P-6m2 (No. 187)
One atom of each set of equivalent atoms:
Ti 0.0000 0.0000 0.0000 [1 per cell]
In 0.3333 0.6667 0.5000 [1 per cell]
Sn 0.6667 0.3333 0.5000 [1 per cell]

Results
Total magnetization = 0.00 μB per formula unit
DFT formation energy = 31 kJ/mol of formula units
Energy relative to the lowest polymorph listed for this composition = 39 meV/atom
Crystal system = hexagonal
Raw total energy = -4.7720 eV per atom



(11)
VASP calculation (PBE) on a relaxed structure of PaBe2.

Unit cell a=5.688 b=4.999 c=3.626 alpha=90.00 beta=110.82 gamma=90.00
Space group C2/m (No. 12)
One atom of each set of equivalent atoms:
Pa 0.000 0.000 0.000 [2 per cell]
Be 0.096 0.500 0.314 [4 per cell]

Results
Total magnetization = 0.00 μB per formula unit
DFT formation energy = 124 kJ/mol of formula units
Energy relative to the lowest polymorph listed for this composition = 315 meV/atom
Crystal system = monoclinic
Raw total energy = -5.2204 eV per atom



(12)
VASP calculation (PBE) on a relaxed structure of Zn3Sn3Pb.

Unit cell a=7.482 b=7.482 c=7.482 alpha=90.00 beta=90.00 gamma=90.00
Space group Pm-3n (No. 223)
One atom of each set of equivalent atoms:
Zn 0.000 0.250 0.500 [6 per cell]
Sn 0.000 0.500 0.250 [6 per cell]
Pb 0.000 0.000 0.000 [2 per cell]

Results
Total magnetization = 0.00 μB per formula unit
DFT formation energy = 283 kJ/mol of formula units
Crystal system = cubic
Raw total energy = -2.3718 eV per atom